The following is a PBE with a Hubbard U calculation of an optimized crystal structure of ZnNi2O4, from Alexandria via LeMat-Bulk.

Properties
For the energy above the most stable polymorph in this dataset, the calculation gives 0.94 eV/f.u. The calculation puts the volume at 9.40 Å³/atom.

The structure in POSCAR format:
```
ZnNi2O4
1.0
8.6650 0.0000 0.0000
0.0000 2.8869 0.0000
0.0000 0.0000 10.5239
Zn Ni O
4 8 16
direct
0.2424 0.2500 0.1620
0.2576 0.7500 0.6620
0.7424 0.2500 0.3380
0.7576 0.7500 0.8380
0.0704 0.7500 0.3980
0.0739 0.7500 0.8858
0.4261 0.2500 0.3858
0.4296 0.2500 0.8980
0.5704 0.7500 0.1020
0.5739 0.7500 0.6142
0.9261 0.2500 0.1142
0.9296 0.2500 0.6020
0.0076 0.7500 0.7030
0.0938 0.7500 0.0786
0.1210 0.2500 0.5154
0.2318 0.2500 0.8213
0.2682 0.7500 0.3213
0.3790 0.7500 0.0154
0.4062 0.2500 0.5786
0.4924 0.2500 0.2030
0.5076 0.7500 0.7970
0.5938 0.7500 0.4214
0.6210 0.2500 0.9846
0.7318 0.2500 0.6787
0.7682 0.7500 0.1787
0.8790 0.7500 0.4846
0.9062 0.2500 0.9214
0.9924 0.2500 0.2970
```